Record 1
DFT (PBE-GGA) results for crystalline BaTmP2S8 at its relaxed geometry.

DOS(E_F) (states/eV/f.u.): 13.40
Final energy (eV/atom): -5.0362
Formation energy from raw total energies (meV/atom): -850

Cell and atoms, written as extended XYZ:
```
12
Lattice="6.071 0.000 0.000 -3.036 5.258 0.000 0.000 0.000 9.186" Properties=species:S:1:pos:R:3 pbc="T T T"
S 1.977 3.453 6.319
S 3.979 0.014 2.868
S -1.034 1.819 6.319
S 1.058 1.805 2.868
S 4.069 3.439 2.868
S 0.000 3.505 8.925
S -0.944 5.244 6.319
S 3.036 1.753 0.262
Tm 0.000 0.000 4.593
P 3.036 1.753 2.301
P 0.000 3.505 6.885
Ba 0.000 0.000 0.000
```

=====

Record 2
DFT (PBE-GGA) results for crystalline BaVP2S at its relaxed geometry.

DOS(E_F) (states/eV/f.u.): 6.30
ΔE to the lowest computed polymorph (meV/atom): 2160
Final energy (eV/atom): -3.7285
Formation energy from raw total energies (meV/atom): 1469

Cell and atoms, written as extended XYZ:
```
5
Lattice="5.470 0.000 0.000 0.000 5.470 0.000 0.000 0.000 5.641" Properties=species:S:1:pos:R:3 pbc="T T T"
P 2.735 0.000 0.000
P 0.000 2.735 0.000
V 2.735 2.735 2.820
S 0.000 0.000 2.820
Ba 0.000 0.000 0.000
```